A relaxed CoTeOs2 crystal. Source: Alexandria, functional PBE. Values from VASP.

Geometry as Quantum ESPRESSO input:
```
&SYSTEM
  ibrav = 0, nat = 4, ntyp = 3
/
ATOMIC_SPECIES
Os 190.23 Os.upf
Te 127.60 Te.upf
Co 58.93 Co.upf
CELL_PARAMETERS angstrom
-2.1088 1.7848 3.7227
-1.9810 -1.1453 4.0317
3.8281 0.4803 2.9723
ATOMIC_POSITIONS crystal
Os 0.9997 0.9997 0.0056
Os 0.7439 0.7439 0.7973
Te 0.5009 0.5009 0.4710
Co 0.2556 0.2556 0.2260
```

Results
**E_form (uncorrected)**: 2.61 eV per formula unit
**Symmetry**: Cm (8)
**N(E_F)**: 0.90 states/eV per atom